# 1
The following is a DFT calculation (PBE) of a geometry-optimized Np6As4P structure.

Properties
calculated volume	23.356	A^3/atom
Fermi-level density of states	57.459	states/eV/cell
space group	R-3c (167)
energy	-9.76	eV/atom

```
Np6As4P
1.0
5.5774 3.2201 4.7682
-5.5774 3.2201 4.7682
0.0000 -6.4403 4.7682
Np As P
12 8 2
Direct
0.0580 0.9287 0.6737
0.0713 0.3263 0.9420
0.1737 0.4287 0.5580
0.3263 0.9420 0.0713
0.4287 0.5580 0.1737
0.4420 0.8263 0.5713
0.5580 0.1737 0.4287
0.5713 0.4420 0.8263
0.6737 0.0580 0.9287
0.8263 0.5713 0.4420
0.9287 0.6737 0.0580
0.9420 0.0713 0.3263
0.1472 0.7500 0.3528
0.2500 0.2500 0.2500
0.2500 0.6472 0.8528
0.3528 0.1472 0.7500
0.6472 0.8528 0.2500
0.7500 0.3528 0.1472
0.7500 0.7500 0.7500
0.8528 0.2500 0.6472
0.0000 0.0000 0.0000
0.5000 0.5000 0.5000
```

***

# 2
The following is a DFT calculation (PBE) of a geometry-optimized NpAs2P structure.

Properties
calculated volume	18.511	A^3/atom
Fermi-level density of states	9.823	states/eV/cell
space group	P4/mmm (123)
energy	-7.23	eV/atom

```
NpAs2P
1.0
4.0734 0.0000 0.0000
0.0000 4.0734 0.0000
0.0000 0.0000 4.4625
Np As P
1 2 1
Direct
0.0000 0.0000 0.0000
0.0000 0.5000 0.5000
0.5000 0.0000 0.5000
0.5000 0.5000 0.0000
```

***

# 3
The following is a DFT calculation (PBE) of a geometry-optimized Np4As2P3 structure.

Properties
calculated volume	21.176	A^3/atom
Fermi-level density of states	49.343	states/eV/cell
space group	Cmce (64)
energy	-9.10	eV/atom

```
Np4As2P3
1.0
2.9854 -8.3082 0.0000
2.9854 8.3082 0.0000
0.0000 0.0000 7.6841
Np As P
8 4 6
Direct
0.1713 0.8287 0.9327
0.2039 0.2961 0.7500
0.2961 0.2039 0.2500
0.3287 0.6713 0.4327
0.6713 0.3287 0.5673
0.7039 0.7961 0.7500
0.7961 0.7039 0.2500
0.8287 0.1713 0.0673
0.0992 0.9008 0.5819
0.4008 0.5992 0.0819
0.5992 0.4008 0.9181
0.9008 0.0992 0.4181
0.0000 0.0000 0.0000
0.0358 0.4642 0.7500
0.4642 0.0358 0.2500
0.5000 0.5000 0.5000
0.5358 0.9642 0.7500
0.9642 0.5358 0.2500
```

***

# 4
The following is a DFT calculation (PBE) of a geometry-optimized Np2AsP structure.

Properties
calculated volume	23.251	A^3/atom
offset from the most stable computed form	0	meV/atom
Fermi-level density of states	15.679	states/eV/cell
space group	R-3m (166)
energy	-9.76	eV/atom

```
Np2AsP
1.0
2.0189 1.1656 6.5872
-2.0189 1.1656 6.5872
0.0000 -2.3312 6.5872
Np As P
2 1 1
Direct
0.2465 0.2465 0.2465
0.7535 0.7535 0.7535
0.0000 0.0000 0.0000
0.5000 0.5000 0.5000
```

***

# 5
The following is a DFT calculation (PBE) of a geometry-optimized Np2AsP structure.

Properties
calculated volume	23.335	A^3/atom
offset from the most stable computed form	9	meV/atom
Fermi-level density of states	31.032	states/eV/cell
space group	I4_1/amd (141)
energy	-9.75	eV/atom

```
Np2AsP
1.0
-2.8590 2.8590 5.7098
2.8590 -2.8590 5.7098
2.8590 2.8590 -5.7098
Np As P
4 2 2
Direct
0.1202 0.3702 0.7500
0.3702 0.1202 0.2500
0.6298 0.8798 0.7500
0.8798 0.6298 0.2500
0.3750 0.6250 0.7500
0.6250 0.3750 0.2500
0.1250 0.8750 0.2500
0.8750 0.1250 0.7500
```

***

# 6
The following is a DFT calculation (PBE) of a geometry-optimized Np3As2P structure.

Properties
calculated volume	23.699	A^3/atom
Fermi-level density of states	47.333	states/eV/cell
space group	C2/m (12)
energy	-9.66	eV/atom

```
Np3As2P
1.0
3.5168 -6.0959 0.0000
3.5168 6.0959 0.0000
-2.3498 0.0000 6.6327
Np As P
6 4 2
Direct
0.0790 0.4187 0.7563
0.2406 0.2406 0.2415
0.4187 0.0790 0.7563
0.5813 0.9210 0.2437
0.7594 0.7594 0.7585
0.9210 0.5813 0.2437
0.0000 0.0000 0.5000
0.3366 0.6634 0.5000
0.5000 0.5000 0.0000
0.6634 0.3366 0.5000
0.1673 0.8327 0.0000
0.8327 0.1673 0.0000
```

***

# 7
The following is a DFT calculation (PBE) of a geometry-optimized Np4As3P structure.

Properties
calculated volume	24.025	A^3/atom
Fermi-level density of states	31.180	states/eV/cell
space group	Pm-3m (221)
energy	-9.61	eV/atom

```
Np4As3P
1.0
5.7710 0.0000 0.0000
0.0000 5.7710 0.0000
0.0000 0.0000 5.7710
Np As P
4 3 1
Direct
0.0000 0.0000 0.0000
0.0000 0.5000 0.5000
0.5000 0.0000 0.5000
0.5000 0.5000 0.0000
0.0000 0.0000 0.5000
0.0000 0.5000 0.0000
0.5000 0.0000 0.0000
0.5000 0.5000 0.5000
```

***

# 8
The following is a DFT calculation (PBE) of a geometry-optimized Np2AsP structure.

Properties
calculated volume	23.661	A^3/atom
offset from the most stable computed form	150	meV/atom
Fermi-level density of states	13.862	states/eV/cell
space group	R3m (160)
energy	-9.61	eV/atom

```
Np2AsP
1.0
1.9720 1.1385 7.0257
-1.9720 1.1385 7.0257
0.0000 -2.2771 7.0257
Np As P
2 1 1
Direct
0.0000 0.0000 0.0000
0.1622 0.1622 0.1622
0.5833 0.5833 0.5833
0.4127 0.4127 0.4127
```

***

# 9
The following is a DFT calculation (PBE) of a geometry-optimized Np2AsP structure.

Properties
calculated volume	21.867	A^3/atom
offset from the most stable computed form	162	meV/atom
Fermi-level density of states	20.515	states/eV/cell
space group	Cmcm (63)
energy	-9.59	eV/atom

```
Np2AsP
1.0
1.8598 -6.9118 0.0000
1.8598 6.9118 0.0000
0.0000 0.0000 6.8044
Np As P
4 2 2
Direct
0.1200 0.8800 0.5276
0.1200 0.8800 0.9724
0.8800 0.1200 0.0276
0.8800 0.1200 0.4724
0.4776 0.5224 0.7500
0.5224 0.4776 0.2500
0.2664 0.7336 0.2500
0.7336 0.2664 0.7500
```

***

# 10
The following is a DFT calculation (PBE) of a geometry-optimized Np4AsP3 structure.

Properties
calculated volume	22.725	A^3/atom
Fermi-level density of states	30.379	states/eV/cell
space group	Pm-3m (221)
energy	-9.88	eV/atom

```
Np4AsP3
1.0
5.6649 0.0000 0.0000
0.0000 5.6649 0.0000
0.0000 0.0000 5.6649
Np As P
4 1 3
Direct
0.0000 0.0000 0.0000
0.0000 0.5000 0.5000
0.5000 0.0000 0.5000
0.5000 0.5000 0.0000
0.5000 0.5000 0.5000
0.0000 0.0000 0.5000
0.0000 0.5000 0.0000
0.5000 0.0000 0.0000
```

***

# 11
The following is a DFT calculation (PBE) of a geometry-optimized Np3As2P structure.

Properties
calculated volume	23.698	A^3/atom
Fermi-level density of states	46.694	states/eV/cell
space group	C2/c (15)
energy	-9.66	eV/atom

```
Np3As2P
1.0
3.5130 -6.1026 0.0000
3.5130 6.1026 0.0000
-2.3555 0.0000 6.6322
Np As P
6 4 2
Direct
0.0000 0.5000 0.0000
0.1587 0.3192 0.4976
0.3192 0.1587 0.9976
0.5000 0.0000 0.5000
0.6808 0.8413 0.0024
0.8413 0.6808 0.5024
0.2542 0.7458 0.7500
0.4174 0.5826 0.2500
0.5826 0.4174 0.7500
0.7458 0.2542 0.2500
0.0867 0.9133 0.2500
0.9133 0.0867 0.7500
```

***

# 12
The following is a DFT calculation (PBE) of a geometry-optimized Np5AsP4 structure.

Properties
calculated volume	22.539	A^3/atom
Fermi-level density of states	37.514	states/eV/cell
space group	Immm (71)
energy	-9.92	eV/atom

```
Np5AsP4
1.0
-1.9959 2.8262 9.9893
1.9959 -2.8262 9.9893
1.9959 2.8262 -9.9893
Np As P
5 1 4
Direct
0.0000 0.0000 0.0000
0.1993 0.1993 0.0000
0.3958 0.3958 0.0000
0.6042 0.6042 0.0000
0.8007 0.8007 0.0000
0.5000 0.0000 0.5000
0.0997 0.5997 0.5000
0.2979 0.7979 0.5000
0.7021 0.2021 0.5000
0.9003 0.4003 0.5000
```